An optimized crystal structure of LiCd2F5. Source: the Alexandria database, functional GGA-PBE.

Output
The value obtained for the mass density is 4.23 Mg/m³. As for the total energy: -63.67 eV for the cell shown. The symmetry is Cmcm (63).

a = 4.333 Å, b = 5.938 Å, c = 10.703 Å
α = 90.00°, β = 90.00°, γ = 111.40°
Positions (direct):
Cd (0.141, 0.281, 0.929)
F (0.946, 0.892, 0.619)
Cd (0.859, 0.719, 0.071)
F (0.699, 0.399, 0.579)
F (0.054, 0.108, 0.119)
F (0.054, 0.108, 0.381)
Cd (0.141, 0.281, 0.571)
F (0.301, 0.601, 0.421)
F (0.301, 0.601, 0.079)
F (0.946, 0.892, 0.881)
Li (0.824, 0.648, 0.750)
F (0.247, 0.493, 0.750)
F (0.699, 0.399, 0.921)
F (0.753, 0.507, 0.250)
Cd (0.859, 0.719, 0.429)
Li (0.176, 0.352, 0.250)